Entry 1:
# Cr2WO6

A relaxed structure of Cr2WO6 (PBE+U, the Alexandria database).

```
Cr2WO6
1.0
4.405 0.000 0.000
0.000 7.643 -4.412
0.000 0.000 8.825
O W Cr
18 3 6
Direct
0.249 0.227 0.454
0.249 0.880 0.440
0.249 0.546 0.773
0.751 0.454 0.227
0.249 0.560 0.440
0.751 0.120 0.560
0.222 0.889 0.779
0.778 0.779 0.889
0.249 0.560 0.120
0.222 0.221 0.111
0.751 0.773 0.227
0.222 0.889 0.111
0.751 0.773 0.546
0.249 0.227 0.773
0.778 0.111 0.221
0.778 0.111 0.889
0.751 0.440 0.560
0.751 0.440 0.880
0.000 0.000 0.000
0.497 0.333 0.667
0.503 0.667 0.333
0.000 0.000 0.340
0.000 0.660 0.000
0.000 0.340 0.000
0.000 0.660 0.660
0.000 0.000 0.660
0.000 0.340 0.340
```

Summary:
space-group type	P-3m1 (164)
excess energy over the best structure of this formula in the dataset	100.8	meV/atom

Entry 2:
# LiMnF2

A relaxed structure of LiMnF2 (PBE+U, the Alexandria database).

```
LiMnF2
1.0
0.000 2.943 2.943
2.943 0.000 2.943
2.943 2.943 0.000
F Mn Li
2 1 1
Direct
0.250 0.250 0.250
0.750 0.750 0.750
0.500 0.500 0.500
0.000 0.000 0.000
```

Summary:
space-group type	Fm-3m (225)
excess energy over the best structure of this formula in the dataset	495.1	meV/atom